A plane-wave DFT calculation with PBE was carried out for a relaxed structure of Li3NbBr.

## Properties
- magnetic moment (μB per formula unit) = 5.000
- raw formation energy (kcal/mol of atoms) = 8.5
- DOS(E_F) (states/eV per cell) = 2.15
- polymorph energy (0 for the lowest one) (meV per atom) = 0
- VASP energy (eV per atom) = -3.130
- calculated density (kg/m³) = 2750

Cell and atoms, written as extended XYZ:
```
5
Lattice="4.8896 0.0000 0.0000 0.0000 4.8896 0.0000 0.0000 0.0000 4.8896" Properties=species:S:1:pos:R:3 pbc="T T T"
Li 0.0000 0.0000 2.4448
Li 0.0000 2.4448 0.0000
Li 2.4448 0.0000 0.0000
Nb 2.4448 2.4448 2.4448
Br 0.0000 0.0000 0.0000
```

---

A plane-wave DFT calculation with PBE was carried out for a relaxed structure of LiNbBrO2.

## Properties
- magnetic moment (μB per formula unit) = 3.297
- raw formation energy (kcal/mol of atoms) = 16.6
- DOS(E_F) (states/eV per cell) = 3.85
- VASP energy (eV per atom) = -3.994
- calculated density (kg/m³) = 4314

Cell and atoms, written as extended XYZ:
```
5
Lattice="4.4431 0.0000 0.0000 0.0000 4.4431 0.0000 0.0000 0.0000 4.1286" Properties=species:S:1:pos:R:3 pbc="T T T"
Li 0.0000 0.0000 0.0000
Nb 2.2215 2.2215 0.0000
Br 0.0000 0.0000 2.0643
O 0.0000 2.2215 2.0643
O 2.2215 0.0000 2.0643
```

---

A plane-wave DFT calculation with PBE was carried out for a relaxed structure of Li2Nb2Br2O5.

## Properties
- magnetic moment (μB per formula unit) = 0.000
- raw formation energy (kcal/mol of atoms) = -48.8
- VASP energy (eV per atom) = -6.852
- calculated density (kg/m³) = 3719

Cell and atoms, written as extended XYZ:
```
11
Lattice="-1.9565 1.9565 12.8157 1.9565 -1.9565 12.8157 1.9565 1.9565 -12.8157" Properties=species:S:1:pos:R:3 pbc="T T T"
Li 0.0000 0.0000 3.6636
Li 0.0000 0.0000 21.9677
Nb 0.0000 0.0000 10.8851
Nb 0.0000 0.0000 14.7463
Br 0.0000 0.0000 8.0901
Br 0.0000 0.0000 17.5413
O 1.9565 0.0000 2.2082
O 1.9565 0.0000 10.6075
O 0.0000 0.0000 12.8157
O 0.0000 1.9565 2.2082
O 0.0000 1.9565 10.6075
```

---

A plane-wave DFT calculation with PBE was carried out for a relaxed structure of LiNbOsBr2.

## Properties
- magnetic moment (μB per formula unit) = 0.000
- raw formation energy (kcal/mol of atoms) = 30.4
- DOS(E_F) (states/eV per cell) = 4.77
- polymorph energy (0 for the lowest one) (meV per atom) = 0
- VASP energy (eV per atom) = -3.993
- calculated density (kg/m³) = 7918

Cell and atoms, written as extended XYZ:
```
5
Lattice="4.3318 0.0000 0.0000 0.0000 4.3318 0.0000 0.0000 0.0000 5.0282" Properties=species:S:1:pos:R:3 pbc="T T T"
Li 0.0000 0.0000 0.0000
Nb 0.0000 0.0000 2.5141
Os 2.1659 2.1659 2.5141
Br 0.0000 2.1659 0.0000
Br 2.1659 0.0000 0.0000
```

---

A plane-wave DFT calculation with PBE was carried out for a relaxed structure of LiNbOsBr2.

## Properties
- magnetic moment (μB per formula unit) = 4.583
- raw formation energy (kcal/mol of atoms) = 32.5
- DOS(E_F) (states/eV per cell) = 6.53
- polymorph energy (0 for the lowest one) (meV per atom) = 92
- VASP energy (eV per atom) = -3.901
- calculated density (kg/m³) = 5079

Cell and atoms, written as extended XYZ:
```
5
Lattice="4.9916 0.0000 0.0000 0.0000 4.9916 0.0000 0.0000 0.0000 5.9037" Properties=species:S:1:pos:R:3 pbc="T T T"
Li 0.0000 0.0000 0.0000
Nb 0.0000 0.0000 2.9518
Os 2.4958 2.4958 0.0000
Br 0.0000 2.4958 2.9518
Br 2.4958 0.0000 2.9518
```

---

A plane-wave DFT calculation with PBE was carried out for a relaxed structure of Rb2LiNbBr6.

## Properties
- magnetic moment (μB per formula unit) = 2.000
- raw formation energy (kcal/mol of atoms) = -30.1
- DOS(E_F) (states/eV per cell) = 7.87
- polymorph energy (0 for the lowest one) (meV per atom) = 13
- VASP energy (eV per atom) = -3.702
- calculated density (kg/m³) = 3935

Cell and atoms, written as extended XYZ:
```
10
Lattice="0.0000 5.4093 5.4093 5.4093 0.0000 5.4093 5.4093 5.4093 0.0000" Properties=species:S:1:pos:R:3 pbc="T T T"
Rb 2.7046 2.7046 2.7046
Rb 8.1139 8.1139 8.1139
Li 0.0000 0.0000 0.0000
Nb 5.4093 5.4093 5.4093
Br 5.4093 5.4093 2.7510
Br 5.4093 2.7510 5.4093
Br 8.0676 5.4093 5.4093
Br 2.7510 5.4093 5.4093
Br 5.4093 8.0676 5.4093
Br 5.4093 5.4093 8.0676
```

---

A plane-wave DFT calculation with PBE was carried out for a relaxed structure of Rb2LiNbBr6.

## Properties
- magnetic moment (μB per formula unit) = 2.000
- raw formation energy (kcal/mol of atoms) = -30.4
- DOS(E_F) (states/eV per cell) = 16.70
- polymorph energy (0 for the lowest one) (meV per atom) = 0
- VASP energy (eV per atom) = -3.715
- calculated density (kg/m³) = 3853

Cell and atoms, written as extended XYZ:
```
20
Lattice="3.8209 2.2060 12.7854 -3.8209 2.2060 12.7854 0.0000 -4.4120 12.7854" Properties=species:S:1:pos:R:3 pbc="T T T"
Rb 0.0000 0.0000 4.7664
Rb 0.0000 0.0000 11.3415
Rb 0.0000 0.0000 27.0147
Rb 0.0000 0.0000 33.5898
Li 0.0000 0.0000 15.9636
Li 0.0000 0.0000 22.3926
Nb 0.0000 0.0000 0.0000
Nb 0.0000 0.0000 19.1781
Br -1.8618 -1.0749 17.6145
Br 0.0000 -2.2467 14.3298
Br -1.9457 1.1233 14.3298
Br -1.9457 -1.1233 24.0264
Br 0.0000 -2.1499 20.7417
Br -1.8618 1.0749 20.7417
Br 1.8618 -1.0749 17.6145
Br 0.0000 2.1499 17.6145
Br 1.9457 1.1233 14.3298
Br 1.9457 -1.1233 24.0264
Br 0.0000 2.2467 24.0264
Br 1.8618 1.0749 20.7417
```

---

A plane-wave DFT calculation with PBE was carried out for a relaxed structure of LiNbSBr2.

## Properties
- magnetic moment (μB per formula unit) = 2.006
- raw formation energy (kcal/mol of atoms) = 4.1
- DOS(E_F) (states/eV per cell) = 3.61
- VASP energy (eV per atom) = -3.712
- calculated density (kg/m³) = 2758

Cell and atoms, written as extended XYZ:
```
5
Lattice="6.2165 0.0000 0.0000 0.0000 6.2165 0.0000 0.0000 0.0000 4.5445" Properties=species:S:1:pos:R:3 pbc="T T T"
Li 0.0000 0.0000 0.0000
Nb 3.1082 3.1082 0.0000
S 3.1082 3.1082 2.2723
Br 0.0000 3.1082 2.2723
Br 3.1082 0.0000 2.2723
```